Here is a relaxed MnH2Cl6 crystal from the Alexandria database. Energies are from GGA-PBE.

The value obtained for the magnetic moment is 0.33 μB per atom. The calculation puts the polymorph energy (0 for the lowest one) at 0 meV/atom.

The structure belongs to space group C2/c (No. 15); the cell edges are 14.3752, 12.3123 and 5.8386 Å and the angles 90.00°, 93.70° and 90.00°. The distinct sites, in fractional coordinates, are Mn at (0.0000, 0.0811, 0.2500), H at (0.1320, 0.4767, 0.7925), Cl at (0.0894, 0.0619, 0.5873), Cl at (0.0951, 0.2007, 0.1276) and Cl at (0.1335, 0.4120, 0.6155).